1.
## TaV2HgO8 (PBE with a Hubbard U)

Data for TaV2HgO8 after structural relaxation.

Computed properties:
As for the mass density: 5.03 g/cm3. The value obtained for the total energy is -7.409 eV per atom.

Lattice parameters (Å, degrees): 5.6982 5.6982 7.1737 90.00 90.00 120.00
With the nearest neighbours (Å) after each atom.
Fractional coordinates of all 12 atoms:
Ta  0.0000  0.0000  0.0000  6 O 1.99
V  0.3333  0.6667  0.7552  4 O 1.64-1.78
V  0.6667  0.3333  0.2448  4 O 1.64-1.78
Hg  0.0000  0.0000  0.5000  6 O 2.90
O  0.1625  0.3250  0.8367  1 V 1.78, 1 Ta 1.99
O  0.1625  0.8375  0.8367  1 V 1.78, 1 Ta 1.99
O  0.3250  0.1625  0.1633  1 V 1.78, 1 Ta 1.99
O  0.3333  0.6667  0.5266  1 V 1.64
O  0.6667  0.3333  0.4734  1 V 1.64
O  0.6750  0.8375  0.8367  1 V 1.78, 1 Ta 1.99
O  0.8375  0.1625  0.1633  1 V 1.78, 1 Ta 1.99
O  0.8375  0.6750  0.1633  1 V 1.78, 1 Ta 1.99

2.
## TaHgWO6 (PBE with a Hubbard U)

Data for TaHgWO6 after structural relaxation.

Computed properties:
As for the mass density: 7.53 g/cm3. The value obtained for the total energy is -7.391 eV per atom.

Lattice parameters (Å, degrees): 7.4442 7.4442 7.4442 120.87 119.04 90.08
With the nearest neighbours (Å) after each atom.
Fractional coordinates of all 18 atoms:
Ta  0.0000  0.0000  0.0000  6 O 1.98-2.02
Ta  0.5000  0.0000  0.5000  6 O 1.98-2.02
Hg  0.4568  0.7068  0.7500  1 O 2.38
Hg  0.5432  0.2932  0.2500  1 O 2.38
W  0.0000  0.0000  0.5000  6 O 1.94
W  0.0000  0.5000  0.0000  6 O 1.94
O  0.0581  0.3134  0.1175  1 W 1.94, 1 Ta 1.98
O  0.0581  0.9406  0.7447  1 W 1.94, 1 Ta 1.98
O  0.0591  0.3091  0.7500  2 W 1.94
O  0.3040  0.0594  0.6175  1 W 1.94, 1 Ta 1.98
O  0.3040  0.6866  0.2447  1 W 1.94, 1 Ta 1.98
O  0.3170  0.0670  0.2500  2 Ta 2.02
O  0.6830  0.9330  0.7500  2 Ta 2.02
O  0.6960  0.3134  0.7553  1 W 1.94, 1 Ta 1.98
O  0.6960  0.9406  0.3825  1 W 1.94, 1 Ta 1.98
O  0.9409  0.6909  0.2500  2 W 1.94
O  0.9419  0.0594  0.2553  1 W 1.94, 1 Ta 1.98
O  0.9419  0.6866  0.8825  1 W 1.94, 1 Ta 1.98